1.
Here is crystalline YHoLuIn at its relaxed geometry from Alexandria. Energies are from PBE. Values from VASP.

Properties
DFT formation energy: -14.1 kJ/mol of atoms
V: 28.06 Å³/atom
size of the total moment: 0.5 μB/cell

Geometry as Quantum ESPRESSO input:
```
&SYSTEM
  ibrav = 0, nat = 4, ntyp = 4
/
ATOMIC_SPECIES
Y 88.91 Y.upf
Lu 174.97 Lu.upf
Ho 164.93 Ho.upf
In 114.82 In.upf
CELL_PARAMETERS angstrom
-1.299 -3.956 3.460
1.686 -5.062 -0.920
3.813 -2.198 3.153
ATOMIC_POSITIONS angstrom
Y 0.000 0.000 0.000
Lu 1.050 -2.804 1.423
Ho 2.100 -5.608 2.847
In 3.150 -8.413 4.270
```

2.
Here is crystalline HoLuZnIn at its relaxed geometry from Alexandria. Energies are from PBE. Values from VASP.

Properties
DFT formation energy: -36.2 kJ/mol of atoms
V: 23.89 Å³/atom
size of the total moment: 0.0 μB/cell

Geometry as Quantum ESPRESSO input:
```
&SYSTEM
  ibrav = 0, nat = 4, ntyp = 4
/
ATOMIC_SPECIES
Zn 65.41 Zn.upf
Lu 174.97 Lu.upf
Ho 164.93 Ho.upf
In 114.82 In.upf
CELL_PARAMETERS angstrom
-3.854 0.743 -3.307
-4.798 0.557 1.734
-2.308 4.576 -0.264
ATOMIC_POSITIONS angstrom
Zn 0.000 0.000 0.000
Lu -2.740 1.469 -0.459
Ho -8.220 4.407 -1.377
In -5.480 2.938 -0.918
```

3.
Here is crystalline HoMg3In at its relaxed geometry from Alexandria. Energies are from PBE. Values from VASP.

Properties
distance to the lowest polymorph of the same formula: 0.0000 eV/atom
DFT formation energy: -6.6 kJ/mol of atoms
V: 25.66 Å³/atom
size of the total moment: 0.0 μB/cell

Geometry as Quantum ESPRESSO input:
```
&SYSTEM
  ibrav = 0, nat = 10, ntyp = 3
/
ATOMIC_SPECIES
Ho 164.93 Ho.upf
Mg 24.30 Mg.upf
In 114.82 In.upf
CELL_PARAMETERS angstrom
-3.096 1.521 -0.992
-1.092 -4.029 -2.770
-5.969 -3.930 12.600
ATOMIC_POSITIONS angstrom
Ho -6.447 -5.226 5.612
Ho -3.710 -1.212 3.226
Mg -0.793 -0.724 1.365
Mg -6.267 -7.235 8.465
Mg -3.538 -3.229 6.091
Mg -3.522 -4.730 3.739
Mg -7.415 -4.593 9.603
Mg -2.742 -1.845 -0.766
In -2.240 -3.561 1.532
In -4.820 -4.398 8.298
```

4.
Here is crystalline Ho6Mg5In at its relaxed geometry from Alexandria. Energies are from PBE. Values from VASP.

Properties
DFT formation energy: -15.0 kJ/mol of atoms
V: 26.75 Å³/atom
size of the total moment: 0.0 μB/cell

Geometry as Quantum ESPRESSO input:
```
&SYSTEM
  ibrav = 0, nat = 12, ntyp = 3
/
ATOMIC_SPECIES
Mg 24.30 Mg.upf
Ho 164.93 Ho.upf
In 114.82 In.upf
CELL_PARAMETERS angstrom
5.054 -0.030 1.675
0.040 7.524 0.013
-0.018 -0.015 8.435
ATOMIC_POSITIONS angstrom
Mg 3.372 3.732 6.739
Mg 1.668 -0.015 3.415
Mg 0.020 3.762 0.007
Mg 3.367 -0.030 6.695
Mg 1.704 3.747 3.385
Ho 4.241 5.608 4.214
Ho 4.221 1.856 4.208
Ho 2.537 1.865 0.841
Ho 2.557 5.629 0.848
Ho 0.855 5.623 5.916
Ho 0.835 1.871 5.909
In 0.000 0.000 0.000
```

Please write out number 2 again, unchanged.
Here is crystalline HoLuZnIn at its relaxed geometry from Alexandria. Energies are from PBE. Values from VASP.

Properties
DFT formation energy: -36.2 kJ/mol of atoms
V: 23.89 Å³/atom
size of the total moment: 0.0 μB/cell

Geometry as Quantum ESPRESSO input:
```
&SYSTEM
  ibrav = 0, nat = 4, ntyp = 4
/
ATOMIC_SPECIES
Zn 65.41 Zn.upf
Lu 174.97 Lu.upf
Ho 164.93 Ho.upf
In 114.82 In.upf
CELL_PARAMETERS angstrom
-3.854 0.743 -3.307
-4.798 0.557 1.734
-2.308 4.576 -0.264
ATOMIC_POSITIONS angstrom
Zn 0.000 0.000 0.000
Lu -2.740 1.469 -0.459
Ho -8.220 4.407 -1.377
In -5.480 2.938 -0.918
```